A plane-wave DFT calculation with PBE was carried out for a relaxed TbSm2Ga2Cu2 crystal.

- calculated volume (A^3/atom) = 22.35
- SG = R-3m
- DOS at the Fermi energy (states/eV/f.u.) = 5.81
- final energy (eV/atom) = -4.435
- formation energy from the elements (eV per atom) = -0.39

a b c (Å): 4.402 4.402 9.666
angles (deg): 76.84 76.84 60.00
Fractional coordinates of all 7 atoms:
Tb: 0.000 0.000 0.000
Sm: 0.877 0.877 0.370
Sm: 0.123 0.123 0.630
Cu: 0.606 0.606 0.183
Cu: 0.394 0.394 0.817
Ga: 0.733 0.733 0.801
Ga: 0.267 0.267 0.199